# 1
A plane-wave DFT calculation with PBE was carried out for a relaxed structure of Ta4Pd5Pb5.

Computed properties:
space group = I-4, No. 82
total moment = 0.00 μB/atom
E_tot = -90.70 eV/f.u.

a b c (Å): 6.3277 7.7449 7.7449
angles (deg): 80.39 114.11 114.11
Last column: nearest neighbours and their distance in Å.
Fractional positions:
Pb  0.9020  0.6370  0.1932  4 Pd 2.73-2.81
Pb  0.5000  0.0000  0.0000  4 Pd 2.79
Pb  0.2912  0.1932  0.3630  4 Pd 2.73-2.81
Pb  0.7350  0.8068  0.6370  4 Pd 2.73-2.81
Pb  0.0718  0.3630  0.8068  4 Pd 2.73-2.81
Ta  0.3962  0.5998  0.2010  4 Pd 2.62-2.75
Ta  0.8048  0.2010  0.4002  4 Pd 2.62-2.75
Ta  0.5953  0.4002  0.7990  4 Pd 2.62-2.75
Ta  0.2036  0.7990  0.5998  4 Pd 2.62-2.75
Pd  0.9378  0.3244  0.1089  3 Ta 2.62-2.69, 4 Pb 2.73-2.79
Pd  0.1711  0.1089  0.6756  3 Ta 2.62-2.69, 4 Pb 2.73-2.79
Pd  0.3865  0.8911  0.3244  3 Ta 2.62-2.69, 4 Pb 2.73-2.79
Pd  0.7500  0.5000  0.5000  4 Ta 2.75, 4 Pb 2.81
Pd  0.5045  0.6756  0.8911  3 Ta 2.62-2.69, 4 Pb 2.73-2.79

***

# 2
A plane-wave DFT calculation with PBE was carried out for a relaxed structure of BaNbIr.

Computed properties:
space group = F-43m, No. 216
total moment = 0.36 μB/atom
E_tot = -18.46 eV/f.u.

a b c (Å): 4.8340 4.8340 4.8340
angles (deg): 60.00 60.00 60.00
Last column: nearest neighbours and their distance in Å.
Fractional positions:
Nb  0.7500  0.7500  0.7500  4 Ir 2.96
Ba  0.2500  0.2500  0.2500  4 Ir 2.96
Ir  0.0000  0.0000  0.0000  4 Ba 2.96, 4 Nb 2.96

***

> Which of these has the lowest total moment?

Ta4Pd5Pb5